Entry w
PBE-GGA Tc2OsRh, optimized geometry; total magnetic moment = 0.00 μB/f.u.
1.0
4.727 -0.001 -0.008
3.941 2.611 -0.008
0.803 0.242 4.668
Os Tc Rh
1 2 1
Cartesian
4.750 1.430 2.264
2.355 0.709 1.201
8.661 2.608 -0.007
7.109 2.141 3.503



Entry x
PBE-GGA Tc2OsRh, optimized geometry; total magnetic moment = 0.00 μB/f.u.
1.0
2.719 0.001 0.000
-0.002 2.719 0.000
0.000 0.000 7.776
Tc Rh Os
2 1 1
Cartesian
0.000 0.000 0.017
0.000 0.000 3.871
1.359 1.360 5.832
1.359 1.360 1.944



Entry y
PBE-GGA Tc2OsRh, optimized geometry; total magnetic moment = 0.00 μB/f.u.
1.0
0.911 -5.431 -0.082
5.159 -1.950 0.173
0.091 -2.894 8.665
Tc Os Rh
8 4 4
Cartesian
1.061 -4.740 3.217
5.284 -5.451 1.195
3.876 -8.531 7.572
2.285 -1.744 1.184
3.000 -7.253 5.402
0.877 -4.824 7.561
5.100 -5.534 5.540
3.161 -3.022 3.354
4.820 -2.704 1.246
1.341 -7.571 7.510
0.618 -2.052 3.250
5.543 -8.223 5.506
2.721 -4.457 1.089
3.440 -5.818 7.668
2.538 -4.563 5.470
3.623 -5.712 3.286



Entry z
PBE-GGA Tc2OsRh, optimized geometry; total magnetic moment = 0.00 μB/f.u.
1.0
-1.403 4.418 -0.808
-0.454 0.620 -4.642
-1.687 -3.323 2.874
Tc Rh Os
2 1 1
Cartesian
-0.929 2.519 -2.725
0.000 0.000 0.000
-2.009 1.807 -0.330
-1.535 -0.092 -2.247



Short version: entry y is the most stable of them.



Entry w
PBE-GGA Tc2OsRh, optimized geometry; total magnetic moment = 0.00 μB/f.u.
1.0
3.244 0.000 0.000
0.000 3.244 0.000
0.000 0.000 5.590
Rh Tc Os
1 2 1
Cartesian
1.622 1.622 4.186
1.622 1.622 1.411
0.000 0.000 5.524
0.000 0.000 2.854



Entry x
PBE-GGA Tc2OsRh, optimized geometry; total magnetic moment = 0.00 μB/f.u.
1.0
5.726 0.000 0.000
0.000 5.726 0.000
2.863 2.863 5.176
Tc Os Rh
4 2 2
Cartesian
1.425 4.295 1.294
4.295 4.288 3.882
4.301 1.432 1.294
7.158 7.164 3.882
5.726 2.863 2.588
0.000 0.000 0.000
2.863 5.726 2.588
2.863 2.863 0.000



Entry y
PBE-GGA Tc2OsRh, optimized geometry; total magnetic moment = 0.00 μB/f.u.
1.0
-0.020 -0.835 2.612
-2.946 -3.541 -1.155
9.401 -1.867 -1.972
Tc Os Rh
4 2 2
Cartesian
6.309 -3.813 -0.437
0.320 -4.526 0.732
4.846 -5.165 -2.321
1.803 -2.338 0.005
-0.420 -2.037 1.524
-1.883 -3.390 -0.360
4.102 -2.675 -1.529
2.620 -4.863 -0.801



Entry z
PBE-GGA Tc2OsRh, optimized geometry; total magnetic moment = 0.00 μB/f.u.
1.0
-0.588 -3.184 0.472
3.108 -0.437 0.926
-1.414 1.037 5.236
Os Tc Rh
1 2 1
Cartesian
0.906 -1.551 2.008
-0.012 0.009 0.046
-0.695 0.509 2.572
0.199 -1.033 4.626



Short version: entry y is the most stable of them.



Entry w
PBE-GGA Tc2OsRh, optimized geometry; total magnetic moment = 0.00 μB/f.u.
1.0
2.722 0.000 0.000
0.000 2.722 0.000
0.000 0.000 7.797
Rh Tc Os
1 2 1
Cartesian
1.361 1.361 5.857
0.000 0.000 7.767
1.361 1.361 2.020
0.000 0.000 3.850



Entry x
PBE-GGA Tc2OsRh, optimized geometry; total magnetic moment = 0.00 μB/f.u.
1.0
0.000 3.087 3.087
3.087 0.000 3.087
3.087 3.087 0.000
Os Rh Tc
1 1 2
Cartesian
3.087 3.087 3.087
0.000 0.000 0.000
4.630 4.630 4.630
1.543 1.543 1.543



Short version: entry w is the most stable of them.



Entry w
PBE-GGA TcOs3Rh, optimized geometry; total magnetic moment = 1.98 μB/f.u.
1.0
4.610 0.000 0.000
0.000 4.610 0.000
0.000 0.000 4.610
Os Tc Rh
3 1 1
Cartesian
2.305 0.000 0.000
0.000 0.000 2.305
0.000 2.305 0.000
0.000 0.000 0.000
2.305 2.305 2.305



Entry x
PBE-GGA TcOs3Rh, optimized geometry; total magnetic moment = 0.00 μB/f.u.
1.0
-2.791 0.717 3.798
-5.671 -0.189 -4.132
2.052 -8.345 3.085
Os Rh Tc
12 4 4
Cartesian
-0.804 -6.623 1.671
-5.118 -2.429 -1.321
0.645 -7.247 3.848
-1.291 -5.388 4.073
-5.502 -6.250 2.104
-0.907 -1.567 0.647
-7.054 -0.570 -1.097
-3.668 -4.526 3.158
-5.605 -1.194 1.080
-3.247 -2.097 2.020
-2.742 -3.291 -0.407
-3.163 -5.720 0.731
-4.713 -0.028 -2.476
-5.079 -3.834 0.967
-1.696 -7.789 5.227
-1.331 -3.983 1.784
-1.783 -2.749 4.203
-3.121 -7.137 3.038
-4.626 -5.069 -1.452
-3.289 -0.680 -0.287



Short version: entry x is the most stable of them.



Entry w
PBE-GGA TcOsRh3, optimized geometry; total magnetic moment = 4.30 μB/f.u.
1.0
-4.057 0.971 2.127
1.906 -1.096 4.134
1.355 4.447 0.555
Rh Os Tc
3 1 1
Cartesian
0.953 -0.548 2.067
-2.028 0.485 1.064
0.678 2.224 0.277
0.000 0.000 0.000
-0.398 2.161 3.408



Entry x
PBE-GGA TcOsRh3, optimized geometry; total magnetic moment = 0.00 μB/f.u.
1.0
5.239 0.245 -1.460
-1.777 4.295 -0.686
-2.351 0.082 6.814
Rh Tc Os
6 2 2
Cartesian
-0.378 0.436 1.250
1.489 4.186 3.418
-0.346 3.138 1.760
1.457 1.484 2.907
3.022 2.300 -1.416
-1.910 2.322 6.083
-1.149 1.360 3.679
2.260 3.263 0.989
2.255 0.587 0.491
-1.144 4.035 4.176



Entry y
PBE-GGA TcOsRh3, optimized geometry; total magnetic moment = 0.00 μB/f.u.
1.0
-1.160 1.093 -2.160
-4.864 0.884 4.727
3.511 7.784 2.055
Rh Os Tc
6 2 2
Cartesian
-2.474 2.196 0.772
0.963 5.549 2.292
0.258 2.122 0.936
-0.038 7.566 3.850
-2.771 7.640 3.686
-3.476 4.213 2.330
-1.486 5.344 3.503
-1.027 4.418 1.119
2.397 7.713 2.617
-4.909 2.049 2.005



Short version: entry x is the most stable of them.



Entry w
PBE-GGA TcOs4Rh, optimized geometry; total magnetic moment = 0.00 μB/f.u.
1.0
-0.601 -1.565 -2.175
5.284 -3.285 2.637
-3.381 -2.221 2.533
Tc Os Rh
1 4 1
Cartesian
3.293 -5.177 2.816
2.924 -2.926 1.298
0.923 -4.837 1.493
-1.623 -4.144 1.698
0.378 -2.233 1.503
1.301 -7.070 2.996



Entry x
PBE-GGA TcOs4Rh, optimized geometry; total magnetic moment = 0.00 μB/f.u.
1.0
-3.880 -3.048 -1.234
-3.694 1.697 -3.056
-0.410 -1.803 -4.738
Rh Os Tc
1 4 1
Cartesian
-5.988 -2.365 -6.770
-3.202 -2.082 -5.750
-4.930 -2.702 -4.004
-2.997 -1.184 -3.389
-4.838 -0.338 -4.912
0.000 0.000 0.000



Short version: entry w is the most stable of them.



Entry w
PBE-GGA Tc2OsRh2, optimized geometry; total magnetic moment = 0.00 μB/f.u.
1.0
7.366 0.000 0.000
0.000 7.366 0.000
0.000 0.000 2.734
Rh Tc Os
4 4 2
Cartesian
6.452 4.597 0.000
0.914 2.769 0.000
4.597 0.914 0.000
2.769 6.452 0.000
2.401 1.282 1.367
6.084 2.401 1.367
1.282 4.965 1.367
4.965 6.084 1.367
3.683 3.683 0.000
0.000 0.000 0.000



Entry x
PBE-GGA Tc2OsRh2, optimized geometry; total magnetic moment = 0.00 μB/f.u.
1.0
-5.889 0.549 2.523
-4.380 4.705 -0.189
4.117 -3.661 -3.317
Os Rh Tc
1 2 2
Cartesian
0.000 0.000 0.000
-3.453 -0.243 0.187
-2.699 1.835 -1.170
-6.120 3.131 1.391
-4.149 2.122 0.943



Short version: entry w is the most stable of them.



Entry w
PBE-GGA Tc4OsRh, optimized geometry; total magnetic moment = 0.00 μB/f.u.
1.0
0.000 3.565 3.565
3.565 0.000 3.565
3.565 3.565 0.000
Tc Os Rh
4 1 1
Cartesian
4.461 2.668 4.461
2.668 4.461 4.461
2.668 2.668 2.668
4.461 4.461 2.668
5.347 5.347 5.347
0.000 0.000 0.000



Entry x
PBE-GGA Tc4OsRh, optimized geometry; total magnetic moment = 0.00 μB/f.u.
1.0
4.029 -1.565 -0.107
-4.724 12.074 -4.959
1.073 -3.614 5.836
Tc Rh Os
8 2 2
Cartesian
0.239 0.536 1.107
0.139 6.359 -0.337
-0.762 4.128 -1.821
2.449 0.391 -0.670
-2.072 6.503 1.440
-2.117 6.595 -1.385
2.495 0.300 2.154
1.139 2.767 2.591
-1.290 8.813 -2.685
1.667 -1.918 3.455
-0.698 4.110 0.958
1.076 2.785 -0.189



Short version: entry x is the most stable of them.



Entry w
PBE-GGA Te4OsRh, optimized geometry; total magnetic moment = 0.00 μB/f.u.
1.0
-1.384 6.244 1.194
-5.720 -1.757 2.555
2.771 -0.513 5.849
Os Te Rh
2 8 2
Cartesian
0.693 2.865 3.521
-1.475 -1.135 4.202
-4.441 4.273 3.426
-2.750 2.515 6.031
-5.128 0.728 3.445
-3.417 -1.025 6.042
0.107 -0.299 6.172
-0.917 4.999 3.557
0.794 3.246 6.153
-1.584 1.459 3.567
0.000 0.000 0.000
-3.552 2.244 1.874



Entry x
PBE-GGA Te4OsRh, optimized geometry; total magnetic moment = 3.70 μB/f.u.
1.0
0.000 4.269 4.269
4.269 0.000 4.269
4.269 4.269 0.000
Te Rh Os
4 1 1
Cartesian
3.202 5.336 5.336
3.202 3.202 3.202
5.336 3.202 5.336
5.336 5.336 3.202
0.000 0.000 0.000
6.404 6.404 6.404



Short version: entry w is the most stable of them.



Entry w
PBE-GGA TiOs2Rh, optimized geometry; total magnetic moment = 0.00 μB/f.u.
1.0
-3.524 -1.813 1.842
-3.994 1.026 -1.447
-2.348 -2.949 -2.210
Os Rh Ti
2 1 1
Cartesian
-2.466 -0.934 -0.454
-7.399 -2.802 -1.361
-4.933 -1.868 -0.907
0.000 0.000 0.000



Entry x
PBE-GGA TiOs2Rh, optimized geometry; total magnetic moment = 0.00 μB/f.u.
1.0
-0.230 1.534 -3.663
-2.815 -2.443 -0.846
-2.576 2.543 1.227
Os Ti Rh
2 1 1
Cartesian
-1.407 -1.222 -0.423
-1.288 1.271 0.613
-2.810 0.817 -1.641
-0.115 0.767 -1.832



Short version: entry x is the most stable of them.